(1)
## HgPb8Au6 (GGA-PBE)

Data for a relaxed HgPb8Au6 crystal.

Cell and atoms, written as extended XYZ:
```
15
Lattice="4.2332 2.4440 6.5986 -4.2332 2.4440 6.5986 0.0000 -4.8881 6.5986" Properties=species:S:1:pos:R:3 pbc="T T T"
Hg 0.0000 0.0000 0.0000
Pb -2.8348 -0.0028 8.7722
Pb -1.4149 -2.4564 11.0236
Pb 0.0000 0.0000 6.5710
Pb 1.4198 -2.4536 8.7722
Pb -1.4198 2.4536 11.0237
Pb 0.0000 0.0000 13.2249
Pb 1.4150 2.4564 8.7722
Pb 2.8348 0.0028 11.0236
Au -1.3831 -2.4595 7.9020
Au -2.8215 -0.0319 11.8939
Au -1.4384 2.4276 7.9020
Au 1.4384 -2.4276 11.8938
Au 2.8215 0.0319 7.9020
Au 1.3831 2.4595 11.8938
```

The calculation puts the final energy at -3.35 eV per atom. As for the calculated volume: 27.3 A^3/atom.

=====

(2)
## YMg3Rh (GGA-PBE)

Data for a relaxed YMg3Rh crystal.

Cell and atoms, written as extended XYZ:
```
5
Lattice="4.9246 0.0000 0.0000 0.0000 4.9246 0.0000 0.0000 0.0000 4.9246" Properties=species:S:1:pos:R:3 pbc="T T T"
Y 0.0000 0.0000 0.0000
Mg 0.0000 2.4623 2.4623
Mg 2.4623 0.0000 2.4623
Mg 2.4623 2.4623 0.0000
Rh 2.4623 2.4623 2.4623
```

The calculation puts the final energy at -3.84 eV per atom. The energy above the most stable polymorph in this dataset comes out at 1.312 eV per formula unit. As for the calculated volume: 23.9 A^3/atom.

=====

(3)
## TaFeAsP2 (GGA-PBE)

Data for a relaxed TaFeAsP2 crystal.

Cell and atoms, written as extended XYZ:
```
5
Lattice="4.0895 0.0000 0.0000 0.0000 4.0895 0.0000 0.0000 0.0000 5.0610" Properties=species:S:1:pos:R:3 pbc="T T T"
Ta 0.0000 0.0000 0.0000
Fe 0.0000 0.0000 2.5305
As 2.0447 2.0447 0.0000
P 0.0000 2.0447 2.5305
P 2.0447 0.0000 2.5305
```

The calculation puts the final energy at -6.74 eV per atom. As for the calculated volume: 16.9 A^3/atom.

=====

(4)
## CsTaFePb2 (GGA-PBE)

Data for a relaxed CsTaFePb2 crystal.

Cell and atoms, written as extended XYZ:
```
5
Lattice="6.0986 0.0000 0.0000 0.0000 6.0986 0.0000 0.0000 0.0000 4.7918" Properties=species:S:1:pos:R:3 pbc="T T T"
Cs 0.0000 0.0000 0.0000
Ta 3.0493 3.0493 2.3959
Fe 0.0000 0.0000 2.3959
Pb 0.0000 3.0493 0.0000
Pb 3.0493 0.0000 0.0000
```

The calculation puts the final energy at -3.14 eV per atom. As for the calculated volume: 35.6 A^3/atom.

=====

(5)
## Cs3LaSb2O8 (GGA-PBE)

Data for a relaxed Cs3LaSb2O8 crystal.

Cell and atoms, written as extended XYZ:
```
14
Lattice="6.5023 0.0000 0.0000 -3.2512 5.6312 0.0000 0.0000 0.0000 8.5969" Properties=species:S:1:pos:R:3 pbc="T T T"
Cs 0.0000 0.0000 0.0000
Cs 0.0000 3.7541 6.1010
Cs 3.2512 1.8771 2.4959
La 0.0000 0.0000 4.2984
Sb 0.0000 3.7541 2.1954
Sb 3.2512 1.8771 6.4015
O 0.0000 1.9647 2.9033
O -1.5497 4.6488 2.9033
O 0.0000 3.7541 0.3219
O 1.7015 0.9824 5.6936
O 1.5497 4.6488 2.9033
O 3.2512 1.8771 8.2750
O 4.8008 0.9824 5.6936
O 3.2512 3.6665 5.6936
```

The calculation puts the final energy at -5.84 eV per atom. The calculation puts the uncorrected formation energy at -1.885 eV/atom. As for the calculated volume: 22.5 A^3/atom.

=====

(6)
## CrCuSe2 (GGA-PBE)

Data for a relaxed CrCuSe2 crystal.

Cell and atoms, written as extended XYZ:
```
4
Lattice="1.7921 -3.6165 0.0000 1.7921 3.6165 0.0000 0.0000 0.0000 6.9015" Properties=species:S:1:pos:R:3 pbc="T T T"
Cr 0.0000 0.0000 0.0000
Cu 0.0000 0.0000 3.4508
Se 1.7921 0.0000 1.7270
Se 1.7921 0.0000 5.1745
```

The calculation puts the final energy at -5.08 eV per atom. The energy above the most stable polymorph in this dataset comes out at 1.835 eV per formula unit. The calculation puts the uncorrected formation energy at 0.090 eV/atom. As for the calculated volume: 22.4 A^3/atom.

=====

no.,density of states at the Fermi level (states/eV/f.u.)
1,6.614
2,5.105
3,4.336
4,9.756
5,0.000
6,2.691